Record 1
Y5TlSi2: relaxed, PBE-GGA.

Cell: 8.868 8.868 8.868 Å, 128.34 128.34 76.07°
Sites, in units of the cell vectors:
Y (0.000, 0.000, 0.000)
Y (0.026, 0.526, 0.830)
Y (0.196, 0.026, 0.500)
Y (0.304, 0.804, 0.830)
Y (0.474, 0.304, 0.500)
Y (0.500, 0.500, 0.000)
Y (0.526, 0.696, 0.500)
Y (0.696, 0.196, 0.170)
Y (0.804, 0.974, 0.500)
Y (0.974, 0.474, 0.170)
Tl (0.250, 0.250, 0.000)
Tl (0.750, 0.750, 0.000)
Si (0.133, 0.367, 0.500)
Si (0.367, 0.867, 0.234)
Si (0.633, 0.133, 0.766)
Si (0.867, 0.633, 0.500)

Values from the calculation:
Electronic total energy: -50.43 eV/f.u.
Calculated density: 5.61 g/cm³
ΔE_f (raw): -612 meV/atom
DOS at the Fermi energy: 12.19 states/eV per cell
Crystal system: tetragonal


Record 2
CaNd2SiO6: relaxed, PBE-GGA.

Cell: 5.383 5.383 4.829 Å, 90.00 90.00 90.00°
Sites, in units of the cell vectors:
Ca (0.000, 0.000, 0.000)
Nd (0.000, 0.500, 0.435)
Nd (0.500, 0.000, 0.435)
Si (0.500, 0.500, 0.035)
O (0.000, 0.000, 0.542)
O (0.279, 0.279, 0.143)
O (0.279, 0.721, 0.143)
O (0.500, 0.500, 0.687)
O (0.721, 0.279, 0.143)
O (0.721, 0.721, 0.143)

Values from the calculation:
Electronic total energy: -76.75 eV/f.u.
Calculated density: 5.37 g/cm³
ΔE_f (raw): -3004 meV/atom
DOS at the Fermi energy: 0.00 states/eV per cell
Crystal system: tetragonal


Record 3
K3Pm3AlS8: relaxed, PBE-GGA.

Cell: 8.058 8.058 8.862 Å, 117.09 117.09 59.95°
Sites, in units of the cell vectors:
K (0.000, 0.000, 0.000)
K (0.000, 0.500, 0.000)
K (0.500, 0.000, 0.000)
Pm (0.000, 0.500, 0.500)
Pm (0.500, 0.000, 0.500)
Pm (0.500, 0.500, 0.500)
Al (0.000, 0.000, 0.500)
S (0.211, 0.211, 0.687)
S (0.211, 0.764, 0.687)
S (0.236, 0.789, 0.313)
S (0.264, 0.264, 0.292)
S (0.736, 0.736, 0.708)
S (0.764, 0.211, 0.687)
S (0.789, 0.236, 0.313)
S (0.789, 0.789, 0.313)

Values from the calculation:
Electronic total energy: -77.40 eV/f.u.
Calculated density: 3.28 g/cm³
ΔE_f (raw): -1540 meV/atom
DOS at the Fermi energy: 14.22 states/eV per cell
Crystal system: monoclinic